LiY5Al3: optimized geometry, PBE-GGA.

Cell lengths 9.0319, 9.0319, 6.5467 Å; angles 90.00, 90.00, 120.00 degrees
Last column: nearest neighbours and their distance in Å.
Sites, in units of the cell vectors:
Li 0.0000 0.0000 0.0000  6 Y 3.19, 2 Li 3.27
Li 0.0000 0.0000 0.5000  6 Y 3.19, 2 Li 3.27
Y 0.0000 0.3031 0.2500  5 Al 3.01-3.31, 2 Li 3.19
Y 0.0000 0.6969 0.7500  5 Al 3.01-3.31, 2 Li 3.19
Y 0.3031 0.0000 0.2500  5 Al 3.01-3.31, 2 Li 3.19
Y 0.3031 0.3031 0.7500  5 Al 3.01-3.31, 2 Li 3.19
Y 0.3333 0.6667 0.0000  8 Y 3.27-3.56, 6 Al 3.34
Y 0.3333 0.6667 0.5000  8 Y 3.27-3.56, 6 Al 3.34
Y 0.6667 0.3333 0.0000  8 Y 3.27-3.56, 6 Al 3.34
Y 0.6667 0.3333 0.5000  8 Y 3.27-3.56, 6 Al 3.34
Y 0.6969 0.0000 0.7500  5 Al 3.01-3.31, 2 Li 3.19
Y 0.6969 0.6969 0.2500  5 Al 3.01-3.31, 2 Li 3.19
Al 0.0000 0.3572 0.7500  9 Y 3.01-3.34
Al 0.0000 0.6428 0.2500  9 Y 3.01-3.34
Al 0.3572 0.0000 0.7500  9 Y 3.01-3.34
Al 0.3572 0.3572 0.2500  9 Y 3.01-3.34
Al 0.6428 0.0000 0.2500  9 Y 3.01-3.34
Al 0.6428 0.6428 0.7500  9 Y 3.01-3.34

## Properties
DFT total energy = -5.330 eV/atom
Fermi-level density of states = 6.313 states/eV/f.u.
theoretical density = 3.82 g/cm³
total magnetization = 0.000 μB per cell

***

CaReBi2W: optimized geometry, PBE-GGA.

Cell lengths 5.2649, 5.2649, 5.5286 Å; angles 90.00, 90.00, 90.00 degrees
Last column: nearest neighbours and their distance in Å.
Sites, in units of the cell vectors:
Ca 0.0000 0.0000 0.0000  2 Re 2.76
Re 0.0000 0.0000 0.5000  4 Bi 2.63, 2 Ca 2.76
Bi 0.0000 0.5000 0.5000  2 Re 2.63
Bi 0.5000 0.0000 0.5000  2 Re 2.63
W 0.5000 0.5000 0.0000  4 Ca 3.72, 8 Bi 3.82

## Properties
DFT total energy = -5.484 eV/atom
Fermi-level density of states = 3.631 states/eV/f.u.
theoretical density = 8.97 g/cm³
total magnetization = 4.389 μB per cell

***

BaCo2Si: optimized geometry, PBE-GGA.

Cell lengths 4.0253, 3.9666, 5.6652 Å; angles 90.00, 102.19, 90.00 degrees
Last column: nearest neighbours and their distance in Å.
Sites, in units of the cell vectors:
Ba 0.0000 0.0000 0.0000  4 Co 3.09-3.46, 2 Si 3.39
Co 0.2047 0.5000 0.5518  2 Si 2.23-2.27, 2 Co 2.31
Co 0.4806 0.0000 0.5139  2 Co 2.31, 2 Si 2.31
Si 0.6554 0.5000 0.3700  4 Co 2.23-2.31

## Properties
DFT total energy = -5.292 eV/atom
Fermi-level density of states = 3.003 states/eV/f.u.
energy relative to the elements, uncorrected = 2.25 kcal/mol of atoms
theoretical density = 5.32 g/cm³
total magnetization = 1.928 μB per cell